Entry from the Alexandria database: crystalline SiMo2Br at its relaxed geometry (PBE).

As for the final energy: -7.00 eV per atom. For the uncorrected formation energy, the calculation gives 186 meV per atom.

It has space group P4mm (No. 99), with a = 3.172 Å, b = 3.172 Å, c = 7.855 Å, α = 90.00°, β = 90.00° and γ = 90.00°. The distinct sites, in fractional coordinates, are Si at (0.000, 0.000, 0.000), Mo at (0.000, 0.000, 0.654), Mo at (0.500, 0.500, 0.868) and Br at (0.500, 0.500, 0.430).

Entry from the Alexandria database: crystalline TbMnSi3Ru at its relaxed geometry (PBE).

As for the final energy: -6.92 eV per atom. For the uncorrected formation energy, the calculation gives -359 meV per atom.

It has space group Cmcm (No. 63), with a = 7.429 Å, b = 10.615 Å, c = 5.456 Å, α = 90.00°, β = 90.00° and γ = 90.00°. The distinct sites, in fractional coordinates, are Tb at (0.000, 0.241, 0.250), Mn at (0.000, 0.045, 0.750), Si at (0.000, 0.244, 0.750), Si at (0.241, 0.000, 0.000) and Ru at (0.000, 0.451, 0.750).

Entry from the Alexandria database: crystalline Nb4MoRh at its relaxed geometry (PBE).

The formation energy comes out at -0.210 eV per atom. As for the final energy: -9.95 eV per atom.

It has space group P2/m (No. 10), with a = 7.258 Å, b = 3.259 Å, c = 9.142 Å, α = 90.00°, β = 108.06° and γ = 90.00°. The distinct sites, in fractional coordinates, are Nb at (0.000, 0.000, 0.000), Nb at (0.000, 0.000, 0.500), Nb at (0.006, 0.500, 0.250), Nb at (0.337, 0.500, 0.581), Nb at (0.338, 0.500, 0.088), Mo at (0.339, 0.000, 0.331) and Rh at (0.332, 0.000, 0.834).

Entry from the Alexandria database: crystalline LaSeBr at its relaxed geometry (PBE).

As for the final energy: -5.18 eV per atom. For the uncorrected formation energy, the calculation gives -1814 meV per atom.

It has space group Cmce (No. 64), with a = 10.904 Å, b = 7.884 Å, c = 10.779 Å, α = 90.00°, β = 90.00° and γ = 90.00°. The distinct sites, in fractional coordinates, are La at (0.000, 0.245, 0.086), Se at (0.000, 0.105, 0.834) and Br at (0.188, 0.000, 0.500).

Entry from the Alexandria database: crystalline TlCoSe2 at its relaxed geometry (PBE).

As for the final energy: -4.40 eV per atom. For the uncorrected formation energy, the calculation gives -293 meV per atom.

It has space group P-3m1 (No. 164), with a = 3.6570 Å, b = 3.6570 Å, c = 7.4487 Å, α = 90.00°, β = 90.00° and γ = 120.00°. The distinct sites, in fractional coordinates, are Tl at (0.0000, 0.0000, 0.0000), Co at (0.0000, 0.0000, 0.5000) and Se at (0.3333, 0.6667, 0.6578).

Entry from the Alexandria database: crystalline Sm5P12Ru19 at its relaxed geometry (PBE).

The formation energy comes out at -0.847 eV per atom. As for the final energy: -8.20 eV per atom.

It has space group P-62m (No. 189), with a = 12.5897 Å, b = 12.5897 Å, c = 4.0033 Å, α = 90.00°, β = 90.00° and γ = 120.00°. The distinct sites, in fractional coordinates, are Sm at (0.0000, 0.8162, 0.0000), Sm at (0.3333, 0.6667, 0.5000), P at (0.0000, 0.1860, 0.5000), P at (0.0000, 0.6260, 0.5000), P at (0.1714, 0.4768, 0.0000), Ru at (0.0000, 0.0000, 0.5000), Ru at (0.0000, 0.2842, 0.0000), Ru at (0.0000, 0.4453, 0.5000), Ru at (0.1250, 0.6332, 0.0000) and Ru at (0.1847, 0.3777, 0.5000).

Entry from the Alexandria database: crystalline Zr2Al3Ru at its relaxed geometry (PBE).

The formation energy comes out at -0.609 eV per atom. As for the final energy: -6.88 eV per atom.

It has space group R-3m (No. 166, hexagonal axes), with a = 5.2987 Å, b = 5.2987 Å, c = 12.7750 Å, α = 90.00°, β = 90.00° and γ = 120.00°. The distinct sites, in fractional coordinates, are Zr at (0.0000, 0.0000, 0.1294), Al at (0.0000, 0.5000, 0.0000) and Ru at (0.0000, 0.0000, 0.5000).

Entry from the Alexandria database: crystalline SiPtPb2 at its relaxed geometry (PBE).

As for the final energy: -4.85 eV per atom. For the uncorrected formation energy, the calculation gives -132 meV per atom.

It has space group Amm2 (No. 38), with a = 4.326 Å, b = 5.491 Å, c = 8.271 Å, α = 90.00°, β = 90.00° and γ = 90.00°. The distinct sites, in fractional coordinates, are Si at (0.000, 0.000, 0.000), Pt at (0.500, 0.000, 0.878), Pb at (0.000, 0.000, 0.633) and Pb at (0.500, 0.000, 0.255).

Entry from the Alexandria database: crystalline CaCuNF2 at its relaxed geometry (PBE).

As for the final energy: -4.40 eV per atom. For the uncorrected formation energy, the calculation gives -766 meV per atom.

It has space group P4/mmm (No. 123), with a = 4.261 Å, b = 4.261 Å, c = 4.903 Å, α = 90.00°, β = 90.00° and γ = 90.00°. The distinct sites, in fractional coordinates, are Ca at (0.000, 0.000, 0.000), Cu at (0.500, 0.500, 0.500), N at (0.000, 0.000, 0.500) and F at (0.000, 0.500, 0.000).

Entry from the Alexandria database: crystalline NdGeN2 at its relaxed geometry (PBE).

As for the final energy: -6.85 eV per atom. For the uncorrected formation energy, the calculation gives -337 meV per atom.

It has space group R-3m (No. 166, hexagonal axes), with a = 3.7962 Å, b = 3.7962 Å, c = 17.9034 Å, α = 90.00°, β = 90.00° and γ = 120.00°. The distinct sites, in fractional coordinates, are Nd at (0.0000, 0.0000, 0.0000), Ge at (0.0000, 0.0000, 0.5000) and N at (0.0000, 0.0000, 0.4008).

Entry from the Alexandria database: crystalline Tm6SnSe3S2 at its relaxed geometry (PBE).

As for the final energy: -5.70 eV per atom. For the uncorrected formation energy, the calculation gives -1572 meV per atom.

It has space group C2/m (No. 12), with a = 17.615 Å, b = 4.000 Å, c = 8.106 Å, α = 90.00°, β = 103.87° and γ = 90.00°. The distinct sites, in fractional coordinates, are Tm at (0.008, 0.000, 0.262), Tm at (0.171, 0.500, 0.108), Tm at (0.173, 0.500, 0.573), Sn at (0.000, 0.500, 0.000), Se at (0.000, 0.500, 0.500), Se at (0.164, 0.000, 0.832) and S at (0.169, 0.000, 0.339).

Entry from the Alexandria database: crystalline Si2PAu at its relaxed geometry (PBE).

As for the final energy: -4.86 eV per atom. For the uncorrected formation energy, the calculation gives 27 meV per atom.

It has space group I-42d (No. 122), with a = 5.712 Å, b = 5.712 Å, c = 9.965 Å, α = 90.00°, β = 90.00° and γ = 90.00°. The distinct sites, in fractional coordinates, are Si at (0.234, 0.250, 0.125), P at (0.000, 0.000, 0.000) and Au at (0.000, 0.000, 0.500).

Entry from the Alexandria database: crystalline PrBi4Pd6 at its relaxed geometry (PBE).

The formation energy comes out at -0.345 eV per atom. As for the final energy: -5.02 eV per atom.

It has space group I-42m (No. 121), with a = 6.951 Å, b = 6.951 Å, c = 10.475 Å, α = 90.00°, β = 90.00° and γ = 90.00°. The distinct sites, in fractional coordinates, are Pr at (0.000, 0.000, 0.000), Bi at (0.215, 0.215, 0.670), Pd at (0.000, 0.500, 0.000) and Pd at (0.164, 0.164, 0.403).

Entry from the Alexandria database: crystalline Th4Ru2Au at its relaxed geometry (PBE).

The formation energy comes out at -0.485 eV per atom. As for the final energy: -7.84 eV per atom.

It has space group C2 (No. 5), with a = 12.583 Å, b = 9.143 Å, c = 8.660 Å, α = 90.00°, β = 133.41° and γ = 90.00°. The distinct sites, in fractional coordinates, are Th at (0.064, 0.000, 0.358), Th at (0.065, 0.618, 0.271), Th at (0.191, 0.245, 0.147), Th at (0.191, 0.373, 0.735), Ru at (0.000, 0.700, 0.500), Ru at (0.000, 0.918, 0.000), Ru at (0.109, 0.309, 0.359) and Au at (0.249, 0.559, 0.125).

Entry from the Alexandria database: crystalline RbUAuI6 at its relaxed geometry (PBE).

As for the final energy: -3.48 eV per atom. For the uncorrected formation energy, the calculation gives -724 meV per atom.

It has space group P-31c (No. 163), with a = 7.7618 Å, b = 7.7618 Å, c = 16.7935 Å, α = 90.00°, β = 90.00° and γ = 120.00°. The distinct sites, in fractional coordinates, are Rb at (0.0000, 0.0000, 0.0000), U at (0.3333, 0.6667, 0.2500), Au at (0.3333, 0.6667, 0.7500) and I at (0.0030, 0.3639, 0.1449).

Entry from the Alexandria database: crystalline LiRe2P at its relaxed geometry (PBE).

The formation energy comes out at 0.222 eV per atom. As for the final energy: -7.83 eV per atom.

It has space group Cmm2 (No. 35), with a = 2.980 Å, b = 4.599 Å, c = 8.577 Å, α = 90.00°, β = 90.00° and γ = 90.00°. The distinct sites, in fractional coordinates, are Li at (0.000, 0.000, 0.000), Re at (0.000, 0.000, 0.470), Re at (0.000, 0.500, 0.729) and P at (0.000, 0.500, 0.247).

Entry from the Alexandria database: crystalline InHgPIr2 at its relaxed geometry (PBE).

The formation energy comes out at 0.479 eV per atom. As for the final energy: -4.76 eV per atom.

It has space group P4/mmm (No. 123), with a = 4.431 Å, b = 4.431 Å, c = 5.313 Å, α = 90.00°, β = 90.00° and γ = 90.00°. The distinct sites, in fractional coordinates, are In at (0.000, 0.000, 0.000), Hg at (0.500, 0.500, 0.000), P at (0.500, 0.500, 0.500) and Ir at (0.000, 0.500, 0.500).

Entry from the Alexandria database: crystalline NdHPd at its relaxed geometry (PBE).

As for the final energy: -5.03 eV per atom.

It has space group Pmma (No. 51), with a = 5.223 Å, b = 3.669 Å, c = 5.215 Å, α = 90.00°, β = 90.00° and γ = 90.00°. The distinct sites, in fractional coordinates, are Nd at (0.250, 0.000, 0.248), H at (0.000, 0.500, 0.000) and Pd at (0.250, 0.500, 0.724).

Entry from the Alexandria database: crystalline Cu2RuBr at its relaxed geometry (PBE).

As for the final energy: -4.09 eV per atom. For the uncorrected formation energy, the calculation gives 697 meV per atom.

It has space group Pmmm (No. 47), with a = 3.075 Å, b = 4.344 Å, c = 4.444 Å, α = 90.00°, β = 90.00° and γ = 90.00°. The distinct sites, in fractional coordinates, are Cu at (0.000, 0.000, 0.000), Cu at (0.500, 0.500, 0.000), Ru at (0.000, 0.500, 0.500) and Br at (0.500, 0.000, 0.500).

Entry from the Alexandria database: crystalline TcPd2Au2 at its relaxed geometry (PBE).

The formation energy comes out at 0.511 eV per atom. As for the final energy: -4.95 eV per atom.

It has space group P4/mbm (No. 127), with a = 7.645 Å, b = 7.645 Å, c = 2.923 Å, α = 90.00°, β = 90.00° and γ = 90.00°. The distinct sites, in fractional coordinates, are Tc at (0.000, 0.000, 0.000), Pd at (0.168, 0.332, 0.500) and Au at (0.132, 0.632, 0.000).

Entry from the Alexandria database: crystalline NbC at its relaxed geometry (PBE).

The formation energy comes out at 0.174 eV per atom. As for the final energy: -9.47 eV per atom.

It has space group Pmmn (No. 59, origin choice 2), with a = 3.502 Å, b = 10.933 Å, c = 4.846 Å, α = 90.00°, β = 90.00° and γ = 90.00°. The distinct sites, in fractional coordinates, are Nb at (0.250, 0.108, 0.055), Nb at (0.250, 0.750, 0.379), C at (0.250, 0.250, 0.363) and C at (0.250, 0.579, 0.174).

Entry from the Alexandria database: crystalline Pr8AgOs3Br4 at its relaxed geometry (PBE).

As for the final energy: -5.78 eV per atom. For the uncorrected formation energy, the calculation gives -693 meV per atom.

It has space group R-3m (No. 166, hexagonal axes), with a = 8.4204 Å, b = 8.4204 Å, c = 23.6817 Å, α = 90.00°, β = 90.00° and γ = 120.00°. The distinct sites, in fractional coordinates, are Pr at (0.0000, 0.0000, 0.2331), Pr at (0.0225, 0.5113, 0.7670), Ag at (0.0000, 0.0000, 0.5000), Os at (0.0000, 0.5000, 0.5000), Br at (0.0000, 0.0000, 0.0000) and Br at (0.0000, 0.5000, 0.0000).

Entry from the Alexandria database: crystalline Th2OsPb at its relaxed geometry (PBE).

The formation energy comes out at -0.289 eV per atom. As for the final energy: -7.73 eV per atom.

It has space group R-3m (No. 166, hexagonal axes), with a = 4.1079 Å, b = 4.1079 Å, c = 24.8760 Å, α = 90.00°, β = 90.00° and γ = 120.00°. The distinct sites, in fractional coordinates, are Th at (0.0000, 0.0000, 0.2294), Os at (0.0000, 0.0000, 0.5000) and Pb at (0.0000, 0.0000, 0.0000).